Entry 1:
This record from OQMD describes a relaxed structure of TaInTe2AuS. The functional is PBE.

a = 7.9828 Å, b = 7.9828 Å, c = 9.9433 Å
α = 90.00°, β = 90.00°, γ = 152.25°
Last column: nearest neighbours and their distance in Å.
Fractional positions:
Ta  0.0000  0.0000  0.0000  2 S 2.71, 4 Te 2.89
Ta  0.0000  0.0000  0.5000  2 S 2.71, 4 Te 2.89
In  0.2567  0.7433  0.7500  6 Te 3.25-3.42, 2 S 3.31
In  0.7433  0.2567  0.2500  6 Te 3.25-3.42, 2 S 3.31
Te  0.3620  0.6380  0.0330  1 Au 2.70, 2 Ta 2.89
Te  0.3620  0.6380  0.4670  1 Au 2.70, 2 Ta 2.89
Te  0.6380  0.3620  0.5330  1 Au 2.70, 2 Ta 2.89
Te  0.6380  0.3620  0.9670  1 Au 2.70, 2 Ta 2.89
Au  0.4663  0.5337  0.2500  2 S 2.49, 2 Te 2.70
Au  0.5337  0.4663  0.7500  2 S 2.49, 2 Te 2.70
S  0.0694  0.9306  0.2500  2 Au 2.49, 2 Ta 2.71
S  0.9306  0.0694  0.7500  2 Au 2.49, 2 Ta 2.71

SG = No. 63

=====

Entry 2:
This record from OQMD describes a relaxed structure of NdErGe2. The functional is PBE.

a = 3.2783 Å, b = 6.4752 Å, c = 6.4752 Å
α = 54.32°, β = 90.00°, γ = 90.00°
Last column: nearest neighbours and their distance in Å.
Fractional positions:
Nd  0.0000  0.0000  0.0000  3 Ge 2.87-2.99
Er  0.0000  0.2980  0.2980  3 Ge 2.77-3.01
Ge  0.0000  0.5387  0.5387  1 Ge 2.44
Ge  0.0000  0.7508  0.7508  1 Ge 2.44

SG = No. 38

=====

Entry 3:
This record from OQMD describes a relaxed structure of Sc3CdC. The functional is PBE.

a = 4.5611 Å, b = 4.5611 Å, c = 4.5611 Å
α = 90.00°, β = 90.00°, γ = 90.00°
Last column: nearest neighbours and their distance in Å.
Fractional positions:
Sc  0.0000  0.0000  0.5000  2 C 2.28
Sc  0.0000  0.5000  0.0000  2 C 2.28
Sc  0.5000  0.0000  0.0000  2 C 2.28
Cd  0.5000  0.5000  0.5000  12 Sc 3.23
C  0.0000  0.0000  0.0000  6 Sc 2.28

SG = No. 221

=====

Entry 4:
This record from OQMD describes a relaxed structure of Y3Tm3NiTe2. The functional is PBE.

a = 8.3228 Å, b = 8.3228 Å, c = 3.9099 Å
α = 90.00°, β = 90.00°, γ = 120.00°
Last column: nearest neighbours and their distance in Å.
Fractional positions:
Y  0.0000  0.4004  0.0000  4 Te 3.21, 1 Ni 3.33, 4 Tm 3.50
Y  0.4004  0.0000  0.0000  4 Te 3.21, 1 Ni 3.33, 4 Tm 3.50
Y  0.5996  0.5996  0.0000  4 Te 3.21, 1 Ni 3.33, 4 Tm 3.50
Tm  0.0000  0.7642  0.5000  2 Ni 2.77
Tm  0.2358  0.2358  0.5000  2 Ni 2.77
Tm  0.7642  0.0000  0.5000  2 Ni 2.77
Ni  0.0000  0.0000  0.0000  6 Tm 2.77
Te  0.3333  0.6667  0.5000  6 Y 3.21, 3 Tm 3.26
Te  0.6667  0.3333  0.5000  6 Y 3.21, 3 Tm 3.26

SG = No. 189

=====

Ρ? In order: 8.8 6.8 4.5 7.7 Mg/m³.
Calculated volume? In order: 295.0 111.7 94.9 234.6 Å³/cell.
Energy? In order: -58.056 -18.378 -31.461 -51.208 eV per cell.